This record from Alexandria via LeMat-Bulk describes a geometry-optimized CaYAl2 structure. The functional is PBE.

abc: 4.4800 4.4800 9.9100
angles: 90.00 90.00 90.00
Space group I-4m2 (No. 119)
One atom of each set of equivalent atoms:
Ca  0.0000  0.0000  0.0000 x2
Y  0.0000  0.5000  0.7500 x2
Al  0.0000  0.0000  0.5000 x2
Al  0.0000  0.5000  0.2500 x2

Results
ΔH_f (0 K) ... -9.0 kJ/mol of atoms
DOS(E_F) ... 1.13 states/eV per atom
Crystal system ... tetragonal